Here is crystalline Y12Tm7Al at its relaxed geometry from the Alexandria database. Energies are from GGA-PBE.

Results
- N(E_F) (states/eV/atom) = 1.8662
- energy relative to the elements (eV per formula unit) = 1.11
- total magnetic moment (μB/f.u.) = 0.00
- symmetry = R-3m (166)

Structure (POSCAR):
```
Y12Tm7Al
1.0
6.7678 3.9074 3.8993
-6.7678 3.9074 3.8993
0.0000 -7.8148 3.8993
Y Tm Al
12 7 1
direct
0.0000 0.2602 0.7398
0.0000 0.7398 0.2602
0.1628 0.1628 0.4206
0.1628 0.4206 0.1628
0.2602 0.0000 0.7398
0.2602 0.7398 0.0000
0.4206 0.1628 0.1628
0.5794 0.8372 0.8372
0.7398 0.0000 0.2602
0.7398 0.2602 0.0000
0.8372 0.5794 0.8372
0.8372 0.8372 0.5794
0.0000 0.0000 0.0000
0.1849 0.5920 0.5920
0.4080 0.4080 0.8151
0.4080 0.8151 0.4080
0.5920 0.1849 0.5920
0.5920 0.5920 0.1849
0.8151 0.4080 0.4080
0.5000 0.5000 0.5000
```